Compound: CdIn2CuSb
Source: Alexandria
Functional: GGA-PBE
Structure: optimized geometry

Calculated values
Formation energy (no corrections), kJ/mol of formula units: 106
Theoretical density, g/cm3: 6.6
Size of the total moment, μB/f.u.: 0.00

Unit cell a=5.0664 b=5.0664 c=5.1331 alpha=90.00 beta=90.00 gamma=90.00
Positions (direct):
1 Cd 0.0000 0.0000 0.0000
2 In 0.0000 0.5000 0.5000
3 In 0.5000 0.0000 0.5000
4 Cu 0.0000 0.0000 0.5000
5 Sb 0.5000 0.5000 0.0000

Compound: PuNi2Ir2
Source: Alexandria
Functional: GGA-PBE
Structure: optimized geometry

Calculated values
Calculated formation energy, eV per atom: -0.1137
Theoretical density, g/cm3: 15.2
Size of the total moment, μB/f.u.: 3.09

Unit cell a=11.4193 b=11.4193 c=11.4193 alpha=160.69 beta=160.69 gamma=27.45
Positions (direct):
1 Pu 0.1247 0.1247 0.0000
2 Pu 0.8753 0.8753 0.0000
3 Ni 0.2500 0.7500 0.5000
4 Ni 0.4284 0.4284 0.0000
5 Ni 0.5716 0.5716 0.0000
6 Ni 0.7500 0.2500 0.5000
7 Ir 0.0000 0.5000 0.5000
8 Ir 0.3231 0.3231 0.0000
9 Ir 0.5000 0.0000 0.5000
10 Ir 0.6769 0.6769 0.0000